First-principles (PBE) data for a relaxed TaTlO3 crystal, as listed in OQMD via LeMat-Bulk.

Unit cell a=5.594 b=5.594 c=5.594 alpha=71.09 beta=71.09 gamma=71.09
Element x y z (fractional)
O (0.250, 0.535, 0.965)
O (0.965, 0.250, 0.535)
O (0.750, 0.465, 0.035)
O (0.535, 0.965, 0.250)
O (0.465, 0.035, 0.750)
O (0.035, 0.750, 0.465)
Ta (0.750, 0.750, 0.750)
Ta (0.250, 0.250, 0.250)
Tl (0.500, 0.500, 0.500)
Tl (0.000, 0.000, 0.000)

Calculated values
E_tot: -7.27 eV per atom
calculated volume: 15.185 Å³/atom